Material: SnB2F
Method: DFT, GGA-PBE
State: optimized geometry

E above lowest polymorph: 0.886 eV/atom
VASP energy: -3.778 eV/atom
Space group: No. 225

Lattice parameters (Å, degrees): 4.1280 4.1280 4.1280 60.00 60.00 60.00
Last column: nearest neighbours and their distance in Å.
Positions (direct):
Sn1 0.0000 0.0000 0.0000  8 B 2.53
B1 0.2500 0.2500 0.2500  4 F 2.53, 4 Sn 2.53
B2 0.7500 0.7500 0.7500  4 Sn 2.53, 4 F 2.53
F1 0.5000 0.5000 0.5000  8 B 2.53